A plane-wave DFT calculation with GGA-PBE was carried out for Fe5P4 after structural relaxation.

Properties
Formation energy from the elements in kJ/mol of formula units: -191.1

Lattice parameters (Å, degrees): 6.176 6.176 6.583 90.00 90.00 120.00
Each line ends with the local moment (μB).
Sites, in units of the cell vectors:
1 Fe 0.667 0.333 0.000  2.16
2 P 0.000 0.000 0.500  -0.01
3 Fe 0.333 0.667 0.000  2.16
4 P 0.000 0.587 0.750  -0.01
5 P 0.413 0.413 0.750  -0.01
6 P 0.413 0.000 0.250  -0.01
7 P 0.587 0.587 0.250  -0.01
8 Fe 0.242 0.242 0.250  -0.07
9 Fe 0.333 0.667 0.500  2.16
10 Fe 0.667 0.333 0.500  2.16
11 Fe 0.000 0.242 0.750  -0.07
12 P 0.587 0.000 0.750  -0.01
13 P 0.000 0.000 0.000  -0.01
14 Fe 0.242 0.000 0.750  -0.07
15 P 0.000 0.413 0.250  -0.01
16 Fe 0.758 0.000 0.250  -0.07
17 Fe 0.000 0.758 0.250  -0.07
18 Fe 0.758 0.758 0.750  -0.07

---

A plane-wave DFT calculation with GGA-PBE was carried out for KMn2CdCl8 after structural relaxation.

Properties
Energy in Ry per atom: -0.300

Lattice parameters (Å, degrees): 6.463 6.465 8.859 75.17 75.75 76.51
Each line ends with the local moment (μB).
Sites, in units of the cell vectors:
1 K 0.000 0.000 0.500  0.00
2 Cl 0.652 0.670 0.476  0.04
3 Cl 0.742 0.203 0.227  0.03
4 Cl 0.809 0.271 0.767  0.03
5 Cl 0.191 0.729 0.233  0.03
6 Cl 0.258 0.797 0.773  0.03
7 Cl 0.281 0.261 0.950  0.02
8 Mn 0.462 0.459 0.721  4.02
9 Mn 0.538 0.541 0.279  4.02
10 Cl 0.719 0.739 0.050  0.02
11 Cl 0.348 0.330 0.524  0.04
12 Cd 0.000 0.000 0.000  0.03

---

A plane-wave DFT calculation with GGA-PBE was carried out for NdGe2Pd3 after structural relaxation.

Properties
Formation energy from the elements in kJ/mol of formula units: -424.7

Lattice parameters (Å, degrees): 4.176 8.218 7.524 115.36 90.00 104.72
Sites, in units of the cell vectors:
1 Pd 0.685 0.370 0.435
2 Nd 0.847 0.694 0.925
3 Ge 0.482 0.964 0.824
4 Pd 0.600 0.199 0.691
5 Nd 0.153 0.306 0.075
6 Pd 0.400 0.801 0.309
7 Pd 0.957 0.915 0.632
8 Ge 0.518 0.036 0.176
9 Pd 0.043 0.085 0.368
10 Ge 0.192 0.383 0.691
11 Ge 0.808 0.617 0.309
12 Pd 0.315 0.630 0.565

---

A plane-wave DFT calculation with GGA-PBE was carried out for Mg5Tc4 after structural relaxation.

Properties
Offset from the most stable computed form in meV/atom: 0
Formation energy from the elements in kJ/mol of formula units: 193.8

Lattice parameters (Å, degrees): 7.202 7.202 7.202 92.61 92.61 155.36
Sites, in units of the cell vectors:
1 Mg 0.331 0.331 0.663
2 Tc 0.348 0.000 0.348
3 Mg 0.669 0.669 0.337
4 Tc 0.000 0.348 0.348
5 Tc 0.000 0.652 0.652
6 Mg 0.000 0.000 0.000
7 Tc 0.652 0.000 0.652
8 Mg 0.331 0.669 0.000
9 Mg 0.669 0.331 0.000